A plane-wave DFT calculation with PBE was carried out for crystalline CaPm2Sm6Dy3 at its relaxed geometry.

Structure (CIF):
```
data_CaPm2Sm6Dy3
_cell_length_a 6.2838
_cell_length_b 10.8858
_cell_length_c 11.9826
_cell_angle_alpha 90.00
_cell_angle_beta 100.02
_cell_angle_gamma 90.00
_space_group_name_H-M_alt 'C 1 2/m 1'
_space_group_IT_number 12
loop_
_space_group_symop_operation_xyz
'x,y,z'
'-x,-y,-z'
'-x,y,-z'
'x,-y,z'
'x+1/2,y+1/2,z'
'-x+1/2,-y+1/2,-z'
'-x+1/2,y+1/2,-z'
'x+1/2,-y+1/2,z'
loop_
_atom_site_label
_atom_site_fract_x
_atom_site_fract_y
_atom_site_fract_z
Ca1 0.0000 0.0000 0.0000
Pm1 0.0000 0.3331 0.0000
Sm1 0.2451 0.3308 0.7447
Sm2 0.2475 0.5000 0.2560
Dy1 0.0000 0.1659 0.5000
Dy2 0.0000 0.5000 0.5000
```

Properties
VASP energy: -4.44 eV per atom
Calculated volume: 807.16 Å³ per cell
Density: 7.08 g cm⁻³
N(E_F): 30.08 states/eV per cell